A plane-wave DFT calculation with PBE was carried out for crystalline Rb2LaScF6 at its relaxed geometry.

```
Rb2LaScF6
1.0
6.5327 0.0000 0.0000
0.0000 6.5327 0.0000
3.2664 3.2664 4.6172
Sc Rb F La
1 2 6 1
direct
0.5000 0.5000 0.0000
0.7500 0.2500 0.5000
0.2500 0.7500 0.5000
0.7338 0.7338 0.0000
0.7337 0.7337 0.5326
0.2662 0.2662 0.0000
0.7338 0.2662 0.0000
0.2662 0.7338 0.0000
0.2663 0.2663 0.4674
0.0000 0.0000 0.0000
```

Computed properties:
Calculated volume = 197 Å³/cell
N(E_F) = 1.04 states/eV/atom
E_tot = -5.50 eV per atom
Formation energy without anion corrections = -295.0 kJ per mole of atoms